Here is Ba2HgPd5 after structural relaxation from the Alexandria database. Energies are from PBE-GGA.

a b c (Å): 6.5417 6.5417 6.5417
angles (deg): 119.98 119.98 90.04
Fractional coordinates of all 8 atoms:
Ba1 0.0000 0.5000 0.5000
Ba2 0.5000 0.0000 0.5000
Hg1 0.2652 0.2652 0.0000
Pd1 0.5389 0.5389 0.5838
Pd2 0.5389 0.9551 0.0000
Pd3 0.9551 0.5389 0.0000
Pd4 0.9551 0.9551 0.4162
Pd5 0.9661 0.9661 0.0000

E_form   -0.358 eV/atom
Space-group type   I4mm (107)
Size of the total moment   0.00 μB/cell
D(E_F)   2.9 states/eV/f.u.
Volume   24.75 Å³ per atom